No. 1
Material: Cr2SbCl
Method: DFT, GGA-PBE
State: relaxed

Geometry as POSCAR:
```
Cr2SbCl
1.0
5.1985 0.0133 -0.0365
0.0690 5.1985 -0.0362
0.7244 0.7169 3.1297
Cl Sb Cr
1 1 2
Direct
0.0000 0.5000 0.5000
0.5000 0.0000 0.5000
0.5000 0.5000 0.0000
0.0000 0.0000 0.0000
```

Output
As for the total energy: -24.2 eV/f.u. The value obtained for the magnetization is 8.7 μB per formula unit. The energy above the most stable polymorph in this dataset comes out at 111.2 kJ/mol of formula units.

=====

No. 2
Material: Pr2ZnGa3
Method: DFT, GGA-PBE
State: relaxed

Geometry as POSCAR:
```
Pr2ZnGa3
1.0
-1.1601 -3.2587 -4.9092
3.9152 -4.3365 1.3896
-6.8557 0.0611 5.5345
Ga Pr Zn
6 4 2
Direct
0.1665 0.1665 0.8335
0.6670 0.6670 0.8335
0.8333 0.8333 0.6666
0.3330 0.3330 0.1665
0.1667 0.1667 0.3334
0.8335 0.8335 0.1665
0.7492 0.2508 0.0000
0.2500 0.7500 0.5000
0.2508 0.7492 0.0000
0.7500 0.2500 0.5000
0.6669 0.6669 0.3337
0.3331 0.3331 0.6663
```

Output
As for the total energy: -23.5 eV/f.u. The calculated formation energy comes out at -3.6 eV per formula unit. The value obtained for the magnetization is 0.0 μB per formula unit. The energy above the most stable polymorph in this dataset comes out at 0.0 kJ/mol of formula units.

=====

No. 3
Material: AcTbPmLu
Method: DFT, GGA-PBE
State: relaxed

Geometry as POSCAR:
```
AcTbPmLu
1.0
-2.7845 -4.7673 -1.8998
2.7901 -3.8585 -3.3789
1.4193 -5.2504 2.1232
Ac Pm Lu Tb
1 1 1 1
Direct
0.2500 0.2500 0.2500
0.7500 0.7500 0.7500
0.5000 0.5000 0.5000
0.0000 0.0000 0.0000
```

Output
As for the total energy: -17.6 eV/f.u. The calculated formation energy comes out at 0.4 eV per formula unit. The value obtained for the magnetization is 0.0 μB per formula unit.

=====

Which of these has the highest magnetization? Cr2SbCl